Entry 1:
Here is Cd2TeP at its PBEsol-relaxed geometry from the Alexandria database. Energies are from SCAN.

It has space group P4/mmm (No. 123), with a = 3.3154 Å, b = 3.3154 Å, c = 8.0200 Å, α = 90.00°, β = 90.00° and γ = 90.00°. The asymmetric unit holds Cd at (0.0000, 0.0000, 0.2026), Te at (0.5000, 0.5000, 0.5000) and P at (0.5000, 0.5000, 0.0000).

For the formation energy (no corrections), the calculation gives 0.300 eV per atom.

---

Entry 2:
Here is BaCuRh2 at its PBEsol-relaxed geometry from the Alexandria database. Energies are from SCAN.

It has space group R3m (No. 160, hexagonal axes), with a = 4.3241 Å, b = 4.3241 Å, c = 16.2807 Å, α = 90.00°, β = 90.00° and γ = 120.00°. The asymmetric unit holds Ba at (0.0000, 0.0000, 0.0000), Cu at (0.0000, 0.0000, 0.1860), Rh at (0.0000, 0.0000, 0.4922) and Rh at (0.0000, 0.0000, 0.8140).

Its formation energy is -0.135 eV per atom.

---

Entry 3:
Here is MoPdS2Cl at its PBEsol-relaxed geometry from the Alexandria database. Energies are from SCAN.

It has space group P4/mmm (No. 123), with a = 4.5830 Å, b = 4.5830 Å, c = 4.6870 Å, α = 90.00°, β = 90.00° and γ = 90.00°. The asymmetric unit holds Mo at (0.0000, 0.0000, 0.0000), Pd at (0.5000, 0.5000, 0.5000), S at (0.0000, 0.5000, 0.0000) and Cl at (0.0000, 0.0000, 0.5000).

For the formation energy (no corrections), the calculation gives 0.182 eV per atom.

---

Entry 4:
Here is InBSb2Ru at its PBEsol-relaxed geometry from the Alexandria database. Energies are from SCAN.

It has space group P4/mmm (No. 123), with a = 4.7557 Å, b = 4.7557 Å, c = 4.2817 Å, α = 90.00°, β = 90.00° and γ = 90.00°. The asymmetric unit holds In at (0.0000, 0.0000, 0.0000), B at (0.0000, 0.0000, 0.5000), Sb at (0.0000, 0.5000, 0.5000) and Ru at (0.5000, 0.5000, 0.0000).

For the formation energy (no corrections), the calculation gives 1.157 eV per atom.

---

Entry 5:
Here is Ru5W at its PBEsol-relaxed geometry from the Alexandria database. Energies are from SCAN.

It has space group Cmmm (No. 65), with a = 3.7888 Å, b = 11.4603 Å, c = 3.7932 Å, α = 90.00°, β = 90.00° and γ = 90.00°. The asymmetric unit holds Ru at (0.0000, 0.0000, 0.0000), Ru at (0.0000, 0.1692, 0.5000), Ru at (0.0000, 0.3314, 0.0000) and W at (0.0000, 0.5000, 0.5000).

Its formation energy is 0.059 eV per atom.

---

Entry 6:
Here is Ba2La2Tc at its PBEsol-relaxed geometry from the Alexandria database. Energies are from SCAN.

It has space group I4/mmm (No. 139), with a = 4.1875 Å, b = 4.1875 Å, c = 19.9139 Å, α = 90.00°, β = 90.00° and γ = 90.00°. The asymmetric unit holds Ba at (0.0000, 0.5000, 0.2500), La at (0.0000, 0.0000, 0.0747) and Tc at (0.0000, 0.0000, 0.5000).

Its formation energy is 1.004 eV per atom.